[1]
Here is crystalline MgTcIO2 at its relaxed geometry from Alexandria via LeMat-Bulk. Energies are from GGA-PBE.

Lattice parameters (Å, degrees): 3.9888 3.9888 5.7958 90.00 90.00 90.00
Element x y z (fractional)
I: 0.0000 0.0000 0.5000
Mg: 0.0000 0.0000 0.0000
Tc: 0.5000 0.5000 0.5000
O: 0.0000 0.5000 0.0000
O: 0.5000 0.0000 0.0000

**Crystal system**: tetragonal
**Energy**: -23.00 eV/cell
**E above lowest polymorph**: 695 meV per atom
**Total magnetization**: 4.1 μB/f.u.
**Theoretical density**: 5.06 g/cm³
**Formation energy (no corrections)**: 85 meV per atom

***

[2]
Here is crystalline MgTcI2O at its relaxed geometry from Alexandria via LeMat-Bulk. Energies are from GGA-PBE.

Lattice parameters (Å, degrees): 5.7889 5.7889 3.7527 90.00 90.00 90.00
Element x y z (fractional)
I: 0.0000 0.5000 0.0000
I: 0.5000 0.0000 0.0000
Mg: 0.0000 0.0000 0.0000
Tc: 0.5000 0.5000 0.5000
O: 0.0000 0.0000 0.5000

**Crystal system**: tetragonal
**Energy**: -19.69 eV/cell
**E above lowest polymorph**: 417 meV per atom
**Total magnetization**: 5.0 μB/f.u.
**Theoretical density**: 5.18 g/cm³
**Formation energy (no corrections)**: 65 meV per atom

***

[3]
Here is crystalline MgTcIO2 at its relaxed geometry from Alexandria via LeMat-Bulk. Energies are from GGA-PBE.

Lattice parameters (Å, degrees): 3.8990 3.8990 6.3072 90.00 90.00 90.00
Element x y z (fractional)
I: 0.0000 0.0000 0.5000
Mg: 0.5000 0.5000 0.5000
Tc: 0.0000 0.0000 0.0000
O: 0.0000 0.5000 0.0000
O: 0.5000 0.0000 0.0000

**Crystal system**: tetragonal
**Energy**: -26.48 eV/cell
**E above lowest polymorph**: 0 meV per atom
**Total magnetization**: 0.0 μB/f.u.
**Theoretical density**: 4.87 g/cm³
**Formation energy (no corrections)**: -610 meV per atom

***

Number 1 is which compound?
MgTcIO2

***

Number 2 is which compound?
MgTcI2O

***

Which value of energy does entry 2 give?
-19.69 eV/cell

***

What is the formula in the second record?
MgTcI2O